Record 1
Computed, not measured: a geometry-optimized ErZrCu2 structure at the PBE level of DFT.

a b c (Å): 4.7422 4.7422 4.7422
angles (deg): 60.00 60.00 60.00
Last column: magnetic moment on the atom in μB.
Fractional coordinates of all 4 atoms:
Cu 0.2500 0.2500 0.2500  0.04
Cu 0.7500 0.7500 0.7500  0.04
Zr 0.5000 0.5000 0.5000  0.34
Er 0.0000 0.0000 0.0000  0.18

Results
The energy of formation from the pure elements is -0.13 eV/atom. The theoretical density comes out at 8.5 g cm⁻³. The spin magnetization is 0.8 μB per cell. As for the calculated volume: 18.85 Å³ per atom.



Record 2
Computed, not measured: a geometry-optimized Zr3HgN structure at the PBE level of DFT.

a b c (Å): 4.5136 4.5136 4.5136
angles (deg): 90.00 90.00 90.00
Fractional coordinates of all 5 atoms:
Hg 0.5000 0.5000 0.5000
Zr 0.0000 0.5000 0.0000
Zr 0.0000 0.0000 0.5000
Zr 0.5000 0.0000 0.0000
N 0.0000 0.0000 0.0000

Results
As for the energy relative to the elements, uncorrected: -829 meV per atom. The theoretical density comes out at 8.8 g cm⁻³. The spin magnetization is 0.0 μB per cell. As for the calculated volume: 18.39 Å³ per atom.



Record 3
Computed, not measured: a geometry-optimized SbMoOs2 structure at the PBE level of DFT.

a b c (Å): 4.8216 4.8216 4.8216
angles (deg): 129.95 129.95 73.49
Last column: magnetic moment on the atom in μB.
Fractional coordinates of all 4 atoms:
Mo 0.7500 0.2500 0.5000  0.62
Os 0.0000 0.0000 0.0000  0.06
Os 0.5000 0.5000 0.0000  0.06
Sb 0.2500 0.7500 0.5000  0.01

Results
As for the energy relative to the elements, uncorrected: 450 meV per atom. The theoretical density comes out at 15.4 g cm⁻³. The spin magnetization is 0.8 μB per cell. As for the calculated volume: 16.07 Å³ per atom.



Record 4
Computed, not measured: a geometry-optimized Cu2PbAu structure at the PBE level of DFT.

a b c (Å): 8.6947 8.6947 8.6947
angles (deg): 21.13 21.13 21.13
Fractional coordinates of all 4 atoms:
Au 0.7363 0.7363 0.7363
Cu 0.9949 0.9949 0.9949
Cu 0.2632 0.2632 0.2632
Pb 0.5056 0.5056 0.5056

Results
The energy of formation from the pure elements is 0.25 eV/atom. The theoretical density comes out at 11.8 g cm⁻³. The spin magnetization is 0.0 μB per cell. As for the calculated volume: 18.70 Å³ per atom.



Record 5
Computed, not measured: a geometry-optimized Pa2CrFe9 structure at the PBE level of DFT.

a b c (Å): 4.8019 4.8019 8.6753
angles (deg): 73.93 73.93 60.00
Last column: magnetic moment on the atom in μB.
Fractional coordinates of all 12 atoms:
Pa 0.8574 0.8574 0.4278  -0.72
Pa 0.1426 0.1426 0.5722  -0.72
Cr 0.0000 0.0000 0.0000  -3.14
Fe 0.6663 0.6663 0.0012  1.68
Fe 0.3337 0.3337 0.9988  1.68
Fe 0.5000 0.5000 0.5000  1.04
Fe 0.4204 0.4204 0.2354  1.54
Fe 0.9239 0.4204 0.2354  1.54
Fe 0.4204 0.9239 0.2354  1.54
Fe 0.5796 0.5796 0.7646  1.54
Fe 0.5796 0.0761 0.7646  1.54
Fe 0.0761 0.5796 0.7646  1.54

Results
The energy of formation from the pure elements is 0.07 eV/atom. The theoretical density comes out at 10.3 g cm⁻³. The spin magnetization is 8.5 μB per cell. As for the calculated volume: 13.68 Å³ per atom.



Record 6
Computed, not measured: a geometry-optimized Pr2GaPt2 structure at the PBE level of DFT.

a b c (Å): 4.3132 5.9379 9.9180
angles (deg): 87.97 77.44 68.70
Fractional coordinates of all 10 atoms:
Pr 0.6679 0.3297 0.3345
Pr 0.9237 0.2620 0.8905
Pr 0.3321 0.6703 0.6655
Pr 0.0763 0.7380 0.1095
Ga 0.6392 0.0764 0.6452
Ga 0.3608 0.9236 0.3548
Pt 0.0801 0.2723 0.5674
Pt 0.6448 0.8278 0.8825
Pt 0.9199 0.7277 0.4326
Pt 0.3552 0.1722 0.1175

Results
The energy of formation from the pure elements is -1.01 eV/atom. The theoretical density comes out at 10.7 g cm⁻³. The spin magnetization is 0.0 μB per cell. As for the calculated volume: 23.07 Å³ per atom.



Record 7
Computed, not measured: a geometry-optimized Li4PrPb structure at the PBE level of DFT.

a b c (Å): 5.6977 5.6977 5.6977
angles (deg): 60.00 60.00 60.00
Fractional coordinates of all 6 atoms:
Pb 0.0000 0.0000 0.0000
Pr 0.2500 0.2500 0.2500
Li 0.6250 0.6250 0.1250
Li 0.6250 0.1250 0.6250
Li 0.6250 0.6250 0.6250
Li 0.1250 0.6250 0.6250

Results
The energy of formation from the pure elements is -0.12 eV/atom. The theoretical density comes out at 4.8 g cm⁻³. The spin magnetization is 0.0 μB per cell. As for the calculated volume: 21.80 Å³ per atom.



Record 8
Computed, not measured: a geometry-optimized Nb5Re4Tc structure at the PBE level of DFT.

a b c (Å): 3.2029 3.2029 16.0234
angles (deg): 90.00 90.00 90.00
Fractional coordinates of all 10 atoms:
Nb 0.5000 0.5000 0.0996
Nb 0.5000 0.5000 0.2998
Nb 0.5000 0.5000 0.5000
Nb 0.5000 0.5000 0.7002
Nb 0.5000 0.5000 0.9004
Re 0.0000 0.0000 0.1995
Re 0.0000 0.0000 0.3999
Re 0.0000 0.0000 0.6001
Re 0.0000 0.0000 0.8005
Tc 0.0000 0.0000 0.0000

Results
The energy of formation from the pure elements is -0.29 eV/atom. The theoretical density comes out at 13.2 g cm⁻³. The spin magnetization is 0.0 μB per cell. As for the calculated volume: 16.44 Å³ per atom.



Record 9
Computed, not measured: a geometry-optimized Cs8KRb5 structure at the PBE level of DFT.

a b c (Å): 12.4947 12.4947 12.4947
angles (deg): 109.09 110.23 109.09
Fractional coordinates of all 14 atoms:
Cs 0.1182 0.6726 0.0252
Cs 0.9748 0.0930 0.6474
Cs 0.7615 0.2869 0.3795
Cs 0.6205 0.3820 0.9074
Cs 0.5254 0.6180 0.2385
Cs 0.5544 0.9070 0.8818
Cs 0.3526 0.3274 0.4456
Cs 0.0926 0.7131 0.4746
K 0.2500 0.5000 0.7500
Rb 0.9958 0.2796 0.0793
Rb 0.9207 0.9166 0.2003
Rb 0.7997 0.7204 0.7162
Rb 0.5000 0.0000 0.5000
Rb 0.2838 0.0834 0.0042

Results
The energy of formation from the pure elements is 0.04 eV/atom. The theoretical density comes out at 1.7 g cm⁻³. The spin magnetization is 0.0 μB per cell. As for the calculated volume: 107.24 Å³ per atom.



Record 10
Computed, not measured: a geometry-optimized LaPmAg2Ge2 structure at the PBE level of DFT.

a b c (Å): 4.5533 4.5533 7.8640
angles (deg): 90.00 90.00 120.00
Fractional coordinates of all 6 atoms:
La 0.0000 0.0000 0.0000
Pm 0.0000 0.0000 0.5000
Ag 0.3333 0.6667 0.7337
Ag 0.6667 0.3333 0.2663
Ge 0.3333 0.6667 0.2531
Ge 0.6667 0.3333 0.7469

Results
The energy of formation from the pure elements is -0.62 eV/atom. The theoretical density comes out at 7.6 g cm⁻³. The spin magnetization is 0.0 μB per cell. As for the calculated volume: 23.53 Å³ per atom.